(1)
Ti4Pt2Rh | PBE | relaxed

a b c (Å): 7.696 7.696 7.944
angles (deg): 90.00 90.00 90.00
Space group I-42d (No. 122)
Inequivalent atoms, fractional coordinates:
Ti (0.069, 0.184, 0.302) x16
Pt (0.127, 0.250, 0.625) x8
Rh (0.000, 0.000, 0.000) x4

Its crystal system is tetragonal. For the energy above the most stable polymorph in this dataset, the calculation gives 0.0000 eV per atom. As for the energy of formation: -0.541 eV per atom.

---

(2)
NdPuIrRu | PBE | relaxed

a b c (Å): 6.935 6.935 6.935
angles (deg): 90.00 90.00 90.00
Space group F-43m (No. 216)
Inequivalent atoms, fractional coordinates:
Nd (0.000, 0.000, 0.000) x4
Pu (0.000, 0.000, 0.500) x4
Ir (0.250, 0.250, 0.750) x4
Ru (0.250, 0.250, 0.250) x4

Its crystal system is cubic. As for the energy of formation: -0.257 eV per atom.

---

(3)
Mn2Sb3 | PBE | relaxed

a b c (Å): 3.6526 3.6526 28.8683
angles (deg): 90.00 90.00 120.00
Space group R-3m (No. 166, hexagonal axes)
Inequivalent atoms, fractional coordinates:
Mn (0.0000, 0.0000, 0.1051) x6
Sb (0.0000, 0.0000, 0.2866) x6
Sb (0.0000, 0.0000, 0.5000) x3

The value obtained for the energy relative to the elements, uncorrected is 152 meV/atom. Its crystal system is trigonal. For the energy above the most stable polymorph in this dataset, the calculation gives 0.1103 eV per atom.

---

(4)
Tc2AgHg | PBE | relaxed

a b c (Å): 3.204 4.392 9.619
angles (deg): 90.00 90.00 90.00
Space group Cmmm (No. 65)
Inequivalent atoms, fractional coordinates:
Tc (0.000, 0.000, 0.247) x4
Ag (0.000, 0.500, 0.000) x2
Hg (0.000, 0.500, 0.500) x2

Its crystal system is orthorhombic. As for the energy of formation: 0.737 eV per atom.

---

(5)
KTb4Cl12 | PBE | relaxed

a b c (Å): 10.233 10.448 10.478
angles (deg): 90.00 90.00 90.00
Space group Immm (No. 71)
Inequivalent atoms, fractional coordinates:
K (0.000, 0.000, 0.000) x2
Tb (0.250, 0.250, 0.250) x8
Cl (0.000, 0.304, 0.300) x8
Cl (0.191, 0.000, 0.255) x8
Cl (0.194, 0.251, 0.000) x8

The value obtained for the energy relative to the elements, uncorrected is -2156 meV/atom. Its crystal system is orthorhombic.

---

(6)
NdZnBi | PBE | relaxed

a b c (Å): 4.5851 4.5851 4.5022
angles (deg): 90.00 90.00 120.00
Space group P3m1 (No. 156)
Inequivalent atoms, fractional coordinates:
Nd (0.0000, 0.0000, 0.0000) x1
Zn (0.6667, 0.3333, 0.6886) x1
Bi (0.3333, 0.6667, 0.4538) x1

Its crystal system is trigonal. As for the energy of formation: -0.526 eV per atom.

---

no.,DOS(E_F) (states/eV/cell)
1,46.41
2,29.50
3,7.76
4,7.97
5,10.67
6,0.37